Entry 1:
Compound: AlZnSb2
Source: Alexandria
Functional: meta-GGA SCAN
Structure: PBEsol geometry

Cell lengths 4.831, 5.009, 4.831 Å; angles 61.17, 90.00, 118.83 degrees
Fractional coordinates of all 4 atoms:
1 Sb 0.250 0.500 0.250
2 Sb 0.750 0.500 0.750
3 Zn 0.500 0.000 0.500
4 Al 0.000 0.000 0.000

Output
As for the symmetry: I4/mmm, No. 139. The excess energy over the best structure of this formula in the dataset is 1.14 eV per formula unit.



Entry 2:
Compound: CdFe2Cl
Source: Alexandria
Functional: meta-GGA SCAN
Structure: PBEsol geometry

Cell lengths 2.811, 5.177, 5.214 Å; angles 119.76, 105.64, 90.00 degrees
Last column: magnetic moment on the atom in μB.
Fractional coordinates of all 4 atoms:
1 Cl 0.500 0.000 0.000  0.09
2 Fe 0.774 0.774 0.549  3.05
3 Fe 0.226 0.226 0.451  3.05
4 Cd 0.000 0.500 0.000  -0.07

Output
As for the symmetry: Immm, No. 71. The excess energy over the best structure of this formula in the dataset is 0.57 eV per formula unit.



Entry 3:
Compound: SiPb3W
Source: Alexandria
Functional: meta-GGA SCAN
Structure: PBEsol geometry

Cell lengths 5.210, 5.210, 5.210 Å; angles 90.00, 90.00, 90.00 degrees
Last column: magnetic moment on the atom in μB.
Fractional coordinates of all 5 atoms:
1 Pb 0.000 0.500 0.000  -0.04
2 Pb 0.000 0.000 0.500  -0.04
3 Pb 0.500 0.000 0.000  -0.04
4 Si 0.000 0.000 0.000  0.04
5 W 0.500 0.500 0.500  3.17

Output
As for the symmetry: Pm-3m, No. 221. The excess energy over the best structure of this formula in the dataset is 2.67 eV per formula unit.



Entry 4:
Compound: CsTiMnOF5
Source: Alexandria
Functional: meta-GGA SCAN
Structure: PBEsol geometry

Cell lengths 7.315, 7.399, 7.399 Å; angles 60.56, 60.37, 60.37 degrees
Last column: magnetic moment on the atom in μB.
Fractional coordinates of all 18 atoms:
1 Cs 0.109 0.141 0.641  0.00
2 Cs 0.891 0.859 0.359  0.00
3 Ti 0.000 0.500 0.000  0.06
4 Ti 0.500 0.500 0.000  0.06
5 Mn 0.500 0.000 0.000  4.61
6 Mn 0.500 0.500 0.500  4.61
7 O 0.779 0.471 0.971  0.00
8 O 0.221 0.529 0.029  0.00
9 F 0.582 0.168 0.668  0.07
10 F 0.418 0.832 0.332  0.07
11 F 0.842 0.813 0.945  0.02
12 F 0.399 0.813 0.945  0.02
13 F 0.842 0.445 0.313  0.02
14 F 0.601 0.555 0.687  0.02
15 F 0.399 0.445 0.313  0.02
16 F 0.601 0.187 0.055  0.02
17 F 0.158 0.555 0.687  0.02
18 F 0.158 0.187 0.055  0.02

Output
The calculation puts the total energy at -13.913 eV/atom. As for the symmetry: Imma, No. 74.



Entry 5:
Compound: KNb3Ir
Source: Alexandria
Functional: meta-GGA SCAN
Structure: PBEsol geometry

Cell lengths 4.958, 4.958, 4.958 Å; angles 90.00, 90.00, 90.00 degrees
Fractional coordinates of all 5 atoms:
1 Nb 0.000 0.500 0.000
2 Nb 0.000 0.000 0.500
3 Nb 0.500 0.000 0.000
4 Ir 0.000 0.000 0.000
5 K 0.500 0.500 0.500

Output
For the formation energy, the calculation gives 1.00 eV/atom. As for the symmetry: Pm-3m, No. 221.



Entry 6:
Compound: Tl2AgHg
Source: Alexandria
Functional: meta-GGA SCAN
Structure: PBEsol geometry

Cell lengths 4.130, 4.776, 4.776 Å; angles 90.00, 90.00, 90.00 degrees
Fractional coordinates of all 4 atoms:
1 Tl 0.000 0.000 0.500
2 Tl 0.000 0.500 0.000
3 Hg 0.500 0.000 0.000
4 Ag 0.500 0.500 0.500

Output
For the formation energy, the calculation gives 0.11 eV/atom. As for the symmetry: P4/mmm, No. 123. The excess energy over the best structure of this formula in the dataset is 0.13 eV per formula unit.



Entry 7:
Compound: Tl2ZnSi
Source: Alexandria
Functional: meta-GGA SCAN
Structure: PBEsol geometry

Cell lengths 4.021, 4.160, 5.238 Å; angles 90.00, 90.00, 90.00 degrees
Fractional coordinates of all 4 atoms:
1 Si 0.500 0.000 0.500
2 Tl 0.000 0.000 0.000
3 Tl 0.000 0.500 0.500
4 Zn 0.500 0.500 0.000

Output
As for the symmetry: Pmmm, No. 47. The excess energy over the best structure of this formula in the dataset is 0.74 eV per formula unit.



Entry 8:
Compound: MgCoCu
Source: Alexandria
Functional: meta-GGA SCAN
Structure: PBEsol geometry

Cell lengths 4.011, 4.011, 4.011 Å; angles 60.00, 60.00, 60.00 degrees
Last column: magnetic moment on the atom in μB.
Fractional coordinates of all 3 atoms:
1 Co 0.000 0.000 0.000  1.72
2 Cu 0.500 0.500 0.500  0.02
3 Mg 0.250 0.250 0.250  -0.02

Output
For the formation energy, the calculation gives 0.79 eV/atom. As for the symmetry: F-43m, No. 216. The excess energy over the best structure of this formula in the dataset is 2.04 eV per formula unit.